{
  "formula": "K2SrNiF8",
  "functional": "PBE with a Hubbard U",
  "state": "optimized geometry",
  "cell": [[4.369, -0.312, -0.002], [-0.309, 6.041, -0.007], [0.004, 0.009, 7.438]],
  "species": ["F", "F", "F", "F", "F", "F", "F", "F", "K", "K", "Sr", "Ni"],
  "frac_coords": [[0.502, 0.232, 0.500], [0.894, 0.180, 0.181], [0.106, 0.820, 0.181], [0.642, 0.824, 0.000], [0.498, 0.768, 0.500], [0.894, 0.180, 0.819], [0.358, 0.176, 0.000], [0.106, 0.820, 0.819], [0.500, 0.500, 0.766], [0.500, 0.500, 0.234], [0.000, 0.000, 0.500], [0.000, 0.000, 0.000]],
  "final_energy_ev_per_cell": -51.19,
  "space_group": "P2/m (10)"
}